1.
The following is a DFT calculation (PBE) of a relaxed structure of YCr2BrN.

Cell lengths 3.8765, 3.8765, 5.1844 Å; angles 90.00, 90.00, 90.00 degrees
Closest atoms and distances in Å follow each position.
Space group P4/mmm (No. 123)
One atom of each set of equivalent atoms:
Y  0.0000  0.0000  0.0000  2 N 2.59, 4 Br 2.74
Cr  0.0000  0.5000  0.5000  2 N 1.94
Br  0.5000  0.5000  0.0000  4 Y 2.74
N  0.0000  0.0000  0.5000  4 Cr 1.94

Results
For the formation energy without anion corrections, the calculation gives -0.09 eV/atom.

---

2.
The following is a DFT calculation (PBE) of a relaxed structure of Na2CrBr.

Cell lengths 7.7139, 7.7139, 7.7139 Å; angles 90.00, 90.00, 90.00 degrees
Closest atoms and distances in Å follow each position.
Space group Fm-3m (No. 225)
One atom of each set of equivalent atoms:
Na  0.2500  0.2500  0.2500  4 Cr 3.34, 4 Br 3.34
Cr  0.0000  0.0000  0.0000  8 Na 3.34
Br  0.0000  0.0000  0.5000  8 Na 3.34

Results
For the formation energy without anion corrections, the calculation gives 0.14 eV/atom. As for the energy relative to the lowest polymorph listed for this composition: 5.5 kJ per mole of atoms.

---

3.
The following is a DFT calculation (PBE) of a relaxed structure of Na2CrBr4.

Cell lengths 8.6537, 11.6863, 4.0988 Å; angles 90.00, 90.00, 90.00 degrees
Closest atoms and distances in Å follow each position.
Space group Cmmm (No. 65)
One atom of each set of equivalent atoms:
Na  0.2500  0.2500  0.0000  6 Br 2.94-3.00
Cr  0.0000  0.0000  0.5000  6 Br 2.61-2.75
Br  0.0000  0.2236  0.5000  1 Cr 2.61
Br  0.2120  0.0000  0.0000  2 Cr 2.75, 2 Na 2.94

Results
For the formation energy without anion corrections, the calculation gives -1.14 eV/atom. As for the energy relative to the lowest polymorph listed for this composition: 0.0 kJ per mole of atoms.

---

4.
The following is a DFT calculation (PBE) of a relaxed structure of Na3Cr5Br12.

Cell lengths 16.7529, 16.7529, 16.7529 Å; angles 90.00, 90.00, 90.00 degrees
Closest atoms and distances in Å follow each position.
Space group Ia-3d (No. 230)
One atom of each set of equivalent atoms:
Na  0.0000  0.2500  0.1250  8 Br 3.17-3.39
Cr  0.0000  0.0000  0.0000  6 Br 2.66
Cr  0.0000  0.2500  0.3750  4 Br 2.53
Br  0.0261  0.0509  0.6478  2 Cr 2.53-2.66

Results
For the formation energy without anion corrections, the calculation gives -0.79 eV/atom.

---

5.
The following is a DFT calculation (PBE) of a relaxed structure of Na2CrBr4.

Cell lengths 5.2814, 5.2814, 14.8090 Å; angles 90.00, 90.00, 90.00 degrees
Closest atoms and distances in Å follow each position.
Space group I4/mmm (No. 139)
One atom of each set of equivalent atoms:
Na  0.0000  0.0000  0.1334  1 Br 2.86
Cr  0.0000  0.0000  0.5000  6 Br 2.57-2.64
Br  0.0000  0.0000  0.3265  1 Cr 2.57, 1 Na 2.86
Br  0.0000  0.5000  0.0000  2 Cr 2.64

Results
For the formation energy without anion corrections, the calculation gives -1.07 eV/atom. As for the energy relative to the lowest polymorph listed for this composition: 6.4 kJ per mole of atoms.

---

6.
The following is a DFT calculation (PBE) of a relaxed structure of NaCr3Br.

Cell lengths 5.2864, 5.2864, 5.2864 Å; angles 90.00, 90.00, 90.00 degrees
Closest atoms and distances in Å follow each position.
Space group Pm-3m (No. 221)
One atom of each set of equivalent atoms:
Na  0.0000  0.0000  0.0000  6 Cr 2.64
Cr  0.0000  0.0000  0.5000  2 Na 2.64
Br  0.5000  0.5000  0.5000  12 Cr 3.74

Results
For the formation energy without anion corrections, the calculation gives 1.67 eV/atom. As for the energy relative to the lowest polymorph listed for this composition: 8.2 kJ per mole of atoms.

---

7.
The following is a DFT calculation (PBE) of a relaxed structure of Na2CrBr4.

Cell lengths 14.3993, 4.1815, 7.4262 Å; angles 90.00, 119.42, 90.00 degrees
Closest atoms and distances in Å follow each position.
Space group C2/m (No. 12)
One atom of each set of equivalent atoms:
Na  0.2105  0.0000  0.1968  6 Br 2.91-3.13
Cr  0.0000  0.5000  0.5000  6 Br 2.53-2.80
Br  0.1044  0.5000  0.8905  1 Cr 2.53
Br  0.1282  0.0000  0.4951  2 Cr 2.80, 3 Na 2.98-3.13

Results
For the formation energy without anion corrections, the calculation gives -1.10 eV/atom. As for the energy relative to the lowest polymorph listed for this composition: 3.5 kJ per mole of atoms.

---

8.
The following is a DFT calculation (PBE) of a relaxed structure of Na2CrBr.

Cell lengths 8.1862, 8.1862, 7.4663 Å; angles 90.00, 90.00, 90.00 degrees
Closest atoms and distances in Å follow each position.
Space group I-42d (No. 122)
One atom of each set of equivalent atoms:
Na  0.2112  0.2500  0.1250  2 Br 2.84
Cr  0.0000  0.0000  0.5000  4 Na 3.26
Br  0.0000  0.0000  0.0000  4 Na 2.84

Results
For the formation energy without anion corrections, the calculation gives 0.08 eV/atom. As for the energy relative to the lowest polymorph listed for this composition: 0.0 kJ per mole of atoms.

---

9.
The following is a DFT calculation (PBE) of a relaxed structure of NaCr3Br.

Cell lengths 4.4614, 4.4614, 4.4614 Å; angles 90.00, 90.00, 90.00 degrees
Closest atoms and distances in Å follow each position.
Space group Pm-3m (No. 221)
One atom of each set of equivalent atoms:
Na  0.0000  0.0000  0.0000  12 Cr 3.15
Cr  0.0000  0.5000  0.5000  2 Br 2.23
Br  0.5000  0.5000  0.5000  6 Cr 2.23

Results
For the formation energy without anion corrections, the calculation gives 1.59 eV/atom. As for the energy relative to the lowest polymorph listed for this composition: 0.0 kJ per mole of atoms.

---

10.
The following is a DFT calculation (PBE) of a relaxed structure of Na2CrBr5.

Cell lengths 5.2812, 14.6424, 13.4926 Å; angles 90.00, 90.00, 90.00 degrees
Closest atoms and distances in Å follow each position.
Space group Cmcm (No. 63)
One atom of each set of equivalent atoms:
Na  0.0000  0.1518  0.0645  5 Br 2.85-3.15
Cr  0.0000  0.1680  0.7500  6 Br 2.46-2.67
Br  0.0000  0.0492  0.6214  1 Cr 2.46
Br  0.0000  0.2908  0.6141  1 Cr 2.57, 2 Na 2.85
Br  0.0000  0.3039  0.2500  2 Cr 2.67

Results
For the formation energy without anion corrections, the calculation gives -1.08 eV/atom.

---

11.
The following is a DFT calculation (PBE) of a relaxed structure of Na4CrBr5.

Cell lengths 9.4248, 9.4248, 5.9783 Å; angles 90.00, 90.00, 90.00 degrees
Closest atoms and distances in Å follow each position.
Space group I4 (No. 79)
One atom of each set of equivalent atoms:
Na  0.0987  0.2982  0.0000  6 Br 2.96-3.08
Cr  0.0000  0.0000  0.5090  6 Br 2.88-3.05
Br  0.0000  0.0000  0.9993  2 Cr 2.93-3.05, 4 Na 2.96
Br  0.0945  0.2904  0.4999  1 Cr 2.88, 5 Na 2.98-3.08

Results
For the formation energy without anion corrections, the calculation gives -1.20 eV/atom.

---

12.
The following is a DFT calculation (PBE) of a relaxed structure of NaCrBr3.

Cell lengths 5.2345, 5.2345, 5.2345 Å; angles 90.00, 90.00, 90.00 degrees
Closest atoms and distances in Å follow each position.
Space group Pm-3m (No. 221)
One atom of each set of equivalent atoms:
Na  0.0000  0.0000  0.0000  12 Br 3.70
Cr  0.5000  0.5000  0.5000  6 Br 2.62
Br  0.0000  0.5000  0.5000  2 Cr 2.62

Results
For the formation energy without anion corrections, the calculation gives -0.89 eV/atom. As for the energy relative to the lowest polymorph listed for this composition: 0.0 kJ per mole of atoms.

---

Final energy values (in eV for the cell shown) by entry order: -36.1, -53.5, -53.8, -704.2, -52.9, -23.5, -53.3, -54.4, -23.9, -116.9, -70.5, -20.4.